Cr2InPb: relaxed, PBE.

a b c (Å): 3.3022 3.3022 27.3539
angles (deg): 90.00 90.00 120.00
Space group R-3m (No. 166, hexagonal axes)
Symmetry-distinct sites (fractional):
Cr  0.0000  0.0000  0.2467
In  0.0000  0.0000  0.5000
Pb  0.0000  0.0000  0.0000

Summary:
**ΔH_f (0 K)**: 0.612 eV per atom



Cr2InPb: relaxed, PBE.

a b c (Å): 4.070 4.070 9.817
angles (deg): 90.00 90.00 90.00
Space group I-4m2 (No. 119)
Symmetry-distinct sites (fractional):
Cr  0.000  0.000  0.000
Cr  0.000  0.500  0.250
In  0.000  0.500  0.750
Pb  0.000  0.000  0.500

Summary:
**ΔH_f (0 K)**: 0.586 eV per atom



Cr2InPb: relaxed, PBE.

a b c (Å): 7.115 7.115 7.115
angles (deg): 90.00 90.00 90.00
Space group F-43m (No. 216)
Symmetry-distinct sites (fractional):
Cr  0.000  0.000  0.000
Cr  0.250  0.250  0.250
In  0.250  0.250  0.750
Pb  0.000  0.000  0.500

Summary:
**ΔH_f (0 K)**: 0.776 eV per atom



Cr2InPb: relaxed, PBE.

a b c (Å): 3.1876 3.1876 27.7955
angles (deg): 90.00 90.00 120.00
Space group R3m (No. 160, hexagonal axes)
Symmetry-distinct sites (fractional):
Cr  0.0000  0.0000  0.0000
Cr  0.0000  0.0000  0.2767
In  0.0000  0.0000  0.7483
Pb  0.0000  0.0000  0.5206

Summary:
**ΔH_f (0 K)**: 0.498 eV per atom



CrInPd2Pb: relaxed, PBE.

a b c (Å): 4.655 4.655 5.000
angles (deg): 90.00 90.00 90.00
Space group P4/mmm (No. 123)
Symmetry-distinct sites (fractional):
Cr  0.000  0.000  0.000
In  0.000  0.000  0.500
Pd  0.000  0.500  0.000
Pb  0.500  0.500  0.500

Summary:
**ΔH_f (0 K)**: 0.651 eV per atom



CrInRhPb2: relaxed, PBE.

a b c (Å): 5.594 5.594 5.080
angles (deg): 90.00 90.00 90.00
Space group P4/mmm (No. 123)
Symmetry-distinct sites (fractional):
Cr  0.000  0.000  0.000
In  0.000  0.000  0.500
Rh  0.500  0.500  0.000
Pb  0.000  0.500  0.500

Summary:
**ΔH_f (0 K)**: 1.377 eV per atom
**Energy above the lowest structure with this stoichiometry**: 0.0 kJ/mol of formula units



CrInRhPb2: relaxed, PBE.

a b c (Å): 5.575 5.575 4.924
angles (deg): 90.00 90.00 90.00
Space group P4/mmm (No. 123)
Symmetry-distinct sites (fractional):
Cr  0.000  0.000  0.000
In  0.500  0.500  0.500
Rh  0.500  0.500  0.000
Pb  0.000  0.500  0.500

Summary:
**ΔH_f (0 K)**: 1.598 eV per atom
**Energy above the lowest structure with this stoichiometry**: 106.4 kJ/mol of formula units



Cr2InPb2S6: relaxed, PBE.

a b c (Å): 6.433 11.295 7.110
angles (deg): 90.00 106.83 90.00
Space group C2/m (No. 12)
Symmetry-distinct sites (fractional):
Cr  0.000  0.167  0.000
In  0.000  0.500  0.000
Pb  0.000  0.338  0.500
S  0.207  0.000  0.191
S  0.239  0.319  0.199

Summary:
**E_form (uncorrected)**: -0.525 eV per atom



CrIn4PbS8: relaxed, PBE.

a b c (Å): 7.8162 7.8162 19.0705
angles (deg): 90.00 90.00 120.00
Space group R3m (No. 160, hexagonal axes)
Symmetry-distinct sites (fractional):
Cr  0.0000  0.0000  0.0000
In  0.0000  0.0000  0.2427
In  0.1709  0.3418  0.4550
Pb  0.0000  0.0000  0.6298
S  0.0000  0.0000  0.3790
S  0.0000  0.0000  0.8704
S  0.1723  0.3446  0.7154
S  0.1748  0.3495  0.1989

Summary:
**E_form (uncorrected)**: -0.455 eV per atom



Cr2InPbSe: relaxed, PBE.

a b c (Å): 5.144 5.144 5.483
angles (deg): 90.00 90.00 90.00
Space group P4/mmm (No. 123)
Symmetry-distinct sites (fractional):
Cr  0.000  0.500  0.000
In  0.000  0.000  0.000
Pb  0.500  0.500  0.500
Se  0.000  0.000  0.500

Summary:
**E_form (uncorrected)**: 1.020 eV per atom



TiCrInPb2: relaxed, PBE.

a b c (Å): 5.318 5.318 4.378
angles (deg): 90.00 90.00 90.00
Space group P4/mmm (No. 123)
Symmetry-distinct sites (fractional):
Ti  0.000  0.000  0.000
Cr  0.000  0.000  0.500
In  0.500  0.500  0.000
Pb  0.000  0.500  0.500

Summary:
**ΔH_f (0 K)**: 0.492 eV per atom



Cr2InPd9: relaxed, PBE.

a b c (Å): 3.947 3.947 11.879
angles (deg): 90.00 90.00 90.00
Space group P4/mmm (No. 123)
Symmetry-distinct sites (fractional):
Cr  0.000  0.000  0.163
In  0.000  0.000  0.500
Pd  0.000  0.500  0.000
Pd  0.000  0.500  0.324
Pd  0.500  0.500  0.162
Pd  0.500  0.500  0.500

Summary:
**ΔH_f (0 K)**: -0.196 eV per atom



CrIn3Pd12: relaxed, PBE.

a b c (Å): 3.997 3.997 16.070
angles (deg): 90.00 90.00 90.00
Space group P4/mmm (No. 123)
Symmetry-distinct sites (fractional):
Cr  0.000  0.000  0.000
In  0.000  0.000  0.247
In  0.000  0.000  0.500
Pd  0.000  0.500  0.117
Pd  0.000  0.500  0.372
Pd  0.500  0.500  0.000
Pd  0.500  0.500  0.244
Pd  0.500  0.500  0.500

Summary:
**ΔH_f (0 K)**: -0.344 eV per atom



CrIn4Pd15: relaxed, PBE.

a b c (Å): 4.001 4.001 20.154
angles (deg): 90.00 90.00 90.00
Space group P4/mmm (No. 123)
Symmetry-distinct sites (fractional):
Cr  0.000  0.000  0.000
In  0.000  0.000  0.197
In  0.000  0.000  0.399
Pd  0.000  0.500  0.093
Pd  0.000  0.500  0.297
Pd  0.000  0.500  0.500
Pd  0.500  0.500  0.000
Pd  0.500  0.500  0.194
Pd  0.500  0.500  0.398

Summary:
**ΔH_f (0 K)**: -0.359 eV per atom



CrIn2Pd: relaxed, PBE.

a b c (Å): 6.651 6.651 6.651
angles (deg): 90.00 90.00 90.00
Space group Fm-3m (No. 225)
Symmetry-distinct sites (fractional):
Cr  0.000  0.000  0.000
In  0.250  0.250  0.250
Pd  0.000  0.000  0.500

Summary:
**ΔH_f (0 K)**: -0.057 eV per atom
**Energy above the lowest structure with this stoichiometry**: 0.0 kJ/mol of formula units



Cr4In2Pd: relaxed, PBE.

a b c (Å): 4.840 4.840 14.012
angles (deg): 90.00 90.00 90.00
Space group I4/mmm (No. 139)
Symmetry-distinct sites (fractional):
Cr  0.000  0.000  0.185
Cr  0.000  0.500  0.000
In  0.000  0.000  0.382
Pd  0.000  0.000  0.000

Summary:
**ΔH_f (0 K)**: 0.996 eV per atom



CrIn2Pd: relaxed, PBE.

a b c (Å): 7.570 7.570 5.831
angles (deg): 90.00 90.00 90.00
Space group I-42d (No. 122)
Symmetry-distinct sites (fractional):
Cr  0.000  0.000  0.000
In  0.234  0.250  0.625
Pd  0.000  0.000  0.500

Summary:
**ΔH_f (0 K)**: 0.226 eV per atom
**Energy above the lowest structure with this stoichiometry**: 108.9 kJ/mol of formula units



Cr2InPd: relaxed, PBE.

a b c (Å): 7.149 7.149 5.148
angles (deg): 90.00 90.00 90.00
Space group I-42d (No. 122)
Symmetry-distinct sites (fractional):
Cr  0.227  0.750  0.125
In  0.000  0.000  0.500
Pd  0.000  0.000  0.000

Summary:
**ΔH_f (0 K)**: 0.852 eV per atom



CrInPd3: relaxed, PBE.

a b c (Å): 4.623 4.623 4.623
angles (deg): 90.00 90.00 90.00
Space group Pm-3m (No. 221)
Symmetry-distinct sites (fractional):
Cr  0.000  0.000  0.000
In  0.500  0.500  0.500
Pd  0.000  0.000  0.500

Summary:
**ΔH_f (0 K)**: 0.671 eV per atom
**Energy above the lowest structure with this stoichiometry**: 0.0 kJ/mol of formula units



CrInPdRh: relaxed, PBE.

a b c (Å): 6.355 6.355 6.355
angles (deg): 90.00 90.00 90.00
Space group F-43m (No. 216)
Symmetry-distinct sites (fractional):
Cr  0.000  0.000  0.000
In  0.000  0.000  0.500
Pd  0.250  0.250  0.750
Rh  0.250  0.250  0.250

Summary:
**ΔH_f (0 K)**: -0.193 eV per atom



CrInPd2Rh: relaxed, PBE.

a b c (Å): 4.841 4.841 4.882
angles (deg): 90.00 90.00 90.00
Space group P4/mmm (No. 123)
Symmetry-distinct sites (fractional):
Cr  0.000  0.000  0.000
In  0.500  0.500  0.000
Pd  0.000  0.500  0.500
Rh  0.500  0.500  0.500

Summary:
**ΔH_f (0 K)**: 1.432 eV per atom



Ta2CrInPd: relaxed, PBE.

a b c (Å): 4.565 4.565 4.778
angles (deg): 90.00 90.00 90.00
Space group P4/mmm (No. 123)
Symmetry-distinct sites (fractional):
Ta  0.000  0.500  0.000
Cr  0.000  0.000  0.000
In  0.500  0.500  0.500
Pd  0.000  0.000  0.500

Summary:
**ΔH_f (0 K)**: 0.852 eV per atom



CrInPt2: relaxed, PBE.

a b c (Å): 8.922 3.011 5.064
angles (deg): 90.00 101.80 90.00
Space group C2/m (No. 12)
Symmetry-distinct sites (fractional):
Cr  0.000  0.000  0.000
In  0.000  0.500  0.500
Pt  0.244  0.500  0.234

Summary:
**ΔH_f (0 K)**: -0.139 eV per atom



CrInPt2: relaxed, PBE.

a b c (Å): 2.910 3.508 6.486
angles (deg): 90.00 90.00 90.00
Space group Pmmm (No. 47)
Symmetry-distinct sites (fractional):
Cr  0.000  0.000  0.000
In  0.000  0.000  0.500
Pt  0.500  0.500  0.225

Summary:
**ΔH_f (0 K)**: -0.270 eV per atom



CrIn2Pt2: relaxed, PBE.

a b c (Å): 7.904 7.904 2.907
angles (deg): 90.00 90.00 90.00
Space group P4/mbm (No. 127)
Symmetry-distinct sites (fractional):
Cr  0.000  0.000  0.000
In  0.144  0.356  0.000
Pt  0.156  0.656  0.500

Summary:
**ΔH_f (0 K)**: 0.218 eV per atom
**Energy above the lowest structure with this stoichiometry**: 195.9 kJ/mol of formula units



Cr3InPt: relaxed, PBE.

a b c (Å): 4.899 4.899 4.899
angles (deg): 90.00 90.00 90.00
Space group Pm-3m (No. 221)
Symmetry-distinct sites (fractional):
Cr  0.000  0.000  0.500
In  0.500  0.500  0.500
Pt  0.000  0.000  0.000

Summary:
**ΔH_f (0 K)**: 0.988 eV per atom
**Energy above the lowest structure with this stoichiometry**: 0.0 kJ/mol of formula units



Number 1: ρ 8.22 g/cm³. Number 2: ρ 8.70 g/cm³. Number 3: ρ 7.86 g/cm³. Number 4: ρ 8.68 g/cm³. Number 5: ρ 9.00 g/cm³. Number 6: ρ 7.15 g/cm³. Number 7: ρ 7.42 g/cm³. Number 8: ρ 5.54 g/cm³. Number 9: ρ 4.81 g/cm³. Number 10: ρ 5.78 g/cm³. Number 11: ρ 8.44 g/cm³. Number 12: ρ 10.56 g/cm³. Number 13: ρ 10.82 g/cm³. Number 14: ρ 10.85 g/cm³. Number 15: ρ 8.76 g/cm³. Number 16: ρ 5.51 g/cm³. Number 17: ρ 7.71 g/cm³. Number 18: ρ 8.21 g/cm³. Number 19: ρ 8.17 g/cm³. Number 20: ρ 9.73 g/cm³. Number 21: ρ 7.00 g/cm³. Number 22: ρ 10.59 g/cm³. Number 23: ρ 13.89 g/cm³. Number 24: ρ 13.97 g/cm³. Number 25: ρ 12.29 g/cm³. Number 26: ρ 6.58 g/cm³.